Crystalline Y2HfH2 at its relaxed geometry, computed with PBE-GGA.

Output
Excess energy over the best structure of this formula in the dataset: 431.9 meV per atom
ρ: 6.49 g/cm3
Symmetry: P4/mbm (127)

Geometry as CIF:
```
data_Y2HfH2
_space_group_name_H-M_alt 'P 1'
_space_group_IT_number 1
_space_group_name_Hall 'P 1'
_cell_length_a 7.471
_cell_length_b 7.471
_cell_length_c 3.282
_cell_angle_alpha 90.00
_cell_angle_beta 90.00
_cell_angle_gamma 90.00
loop_
_atom_site_label
_atom_site_type_symbol
_atom_site_fract_x
_atom_site_fract_y
_atom_site_fract_z
Y1 Y 0.189 0.311 0.000
Y2 Y 0.311 0.811 0.000
Y3 Y 0.689 0.189 0.000
Y4 Y 0.811 0.689 0.000
Hf1 Hf 0.000 0.000 0.500
Hf2 Hf 0.500 0.500 0.500
H1 H 0.153 0.653 0.500
H2 H 0.347 0.153 0.500
H3 H 0.653 0.847 0.500
H4 H 0.847 0.347 0.500
```


Crystalline Y2HfH at its relaxed geometry, computed with PBE-GGA.

Output
Excess energy over the best structure of this formula in the dataset: 0.0 meV per atom
ρ: 6.70 g/cm3
Symmetry: I-42d (122)

Geometry as CIF:
```
data_Y2HfH
_space_group_name_H-M_alt 'P 1'
_space_group_IT_number 1
_space_group_name_Hall 'P 1'
_cell_length_a 6.131
_cell_length_b 6.131
_cell_length_c 6.131
_cell_angle_alpha 110.65
_cell_angle_beta 110.65
_cell_angle_gamma 107.14
loop_
_atom_site_label
_atom_site_type_symbol
_atom_site_fract_x
_atom_site_fract_y
_atom_site_fract_z
Y1 Y 0.006 0.125 0.381
Y2 Y 0.375 0.994 0.119
Y3 Y 0.744 0.625 0.619
Y4 Y 0.875 0.256 0.881
Hf1 Hf 0.250 0.750 0.500
Hf2 Hf 0.500 0.500 0.000
H1 H 0.000 0.000 0.000
H2 H 0.750 0.250 0.500
```


Crystalline YHf2H2 at its relaxed geometry, computed with PBE-GGA.

Output
ρ: 8.97 g/cm3
VASP energy: -6.7346 eV per atom
Symmetry: I4/mmm (139)

Geometry as CIF:
```
data_YHf2H2
_space_group_name_H-M_alt 'P 1'
_space_group_IT_number 1
_space_group_name_Hall 'P 1'
_cell_length_a 6.188
_cell_length_b 6.188
_cell_length_c 6.188
_cell_angle_alpha 143.61
_cell_angle_beta 143.61
_cell_angle_gamma 52.41
loop_
_atom_site_label
_atom_site_type_symbol
_atom_site_fract_x
_atom_site_fract_y
_atom_site_fract_z
Y1 Y 0.000 0.000 0.000
Hf1 Hf 0.309 0.309 0.000
Hf2 Hf 0.691 0.691 0.000
H1 H 0.250 0.750 0.500
H2 H 0.750 0.250 0.500
```


Q: ρ of number 3 (YHf2H2)?
A: 8.97 g/cm3


Q: Which value of ρ does entry 2 give?
A: 6.70 g/cm3


Q: What is the formula in the first record?
A: Y2HfH2